[1]
This record from Alexandria describes a geometry-optimized Nd5Sm5Tm structure. The functional is PBE-GGA.

Results
The total energy is -4.47 eV/atom.

a b c (Å): 10.0216 10.0216 7.0407
angles (deg): 110.14 110.14 35.50
Last column: nearest neighbours and their distance in Å.
Sites, in units of the cell vectors:
Nd  0.0000  0.0000  0.0000  2 Sm 3.02, 2 Tm 3.06
Nd  0.3253  0.3253  0.5812  6 Sm 3.31-3.67, 2 Nd 3.44-3.60, 1 Tm 3.56
Nd  0.3256  0.3256  0.0704  6 Sm 3.31-3.65, 2 Nd 3.44-3.60, 1 Tm 3.54
Nd  0.6744  0.6744  0.9296  6 Sm 3.31-3.65, 2 Nd 3.44-3.60, 1 Tm 3.54
Nd  0.6747  0.6747  0.4188  6 Sm 3.31-3.67, 2 Nd 3.44-3.60, 1 Tm 3.56
Sm  0.1243  0.1243  0.6276  4 Sm 3.61-3.77, 6 Nd 3.65-3.98
Sm  0.1695  0.1695  0.1723  3 Nd 3.02-3.31
Sm  0.5000  0.5000  0.5000  2 Tm 3.52, 4 Nd 3.58-3.60, 4 Sm 3.77
Sm  0.8305  0.8305  0.8277  3 Nd 3.02-3.31
Sm  0.8757  0.8757  0.3724  4 Sm 3.61-3.77, 6 Nd 3.65-3.98
Tm  0.5000  0.5000  0.0000  2 Nd 3.06

[2]
This record from Alexandria describes a geometry-optimized Nd12SmTm2 structure. The functional is PBE-GGA.

Results
The total energy is -4.41 eV/atom.

a b c (Å): 6.5464 6.5464 25.6822
angles (deg): 90.00 90.00 90.00
Last column: nearest neighbours and their distance in Å.
Sites, in units of the cell vectors:
Nd  0.0678  0.5678  0.1151  7 Nd 3.37-3.53, 1 Sm 3.40
Nd  0.0678  0.9322  0.8849  7 Nd 3.37-3.53, 1 Sm 3.40
Nd  0.0815  0.5815  0.4377  5 Nd 3.12-3.44
Nd  0.0815  0.9185  0.5623  5 Nd 3.12-3.44
Nd  0.2500  0.2500  0.2162  1 Nd 3.11
Nd  0.2500  0.2500  0.3373  1 Nd 3.11
Nd  0.2500  0.2500  0.6627  1 Nd 3.11
Nd  0.2500  0.2500  0.7838  1 Nd 3.11
Nd  0.4185  0.5815  0.5623  5 Nd 3.12-3.44
Nd  0.4185  0.9185  0.4377  5 Nd 3.12-3.44
Nd  0.4322  0.5678  0.8849  7 Nd 3.37-3.53, 1 Sm 3.40
Nd  0.4322  0.9322  0.1151  7 Nd 3.37-3.53, 1 Sm 3.40
Nd  0.5678  0.0678  0.8849  7 Nd 3.37-3.53, 1 Sm 3.40
Nd  0.5678  0.4322  0.1151  7 Nd 3.37-3.53, 1 Sm 3.40
Nd  0.5815  0.0815  0.5623  5 Nd 3.12-3.44
Nd  0.5815  0.4185  0.4377  5 Nd 3.12-3.44
Nd  0.7500  0.7500  0.2162  1 Nd 3.11
Nd  0.7500  0.7500  0.3373  1 Nd 3.11
Nd  0.7500  0.7500  0.6627  1 Nd 3.11
Nd  0.7500  0.7500  0.7838  1 Nd 3.11
Nd  0.9185  0.0815  0.4377  5 Nd 3.12-3.44
Nd  0.9185  0.4185  0.5623  5 Nd 3.12-3.44
Nd  0.9322  0.0678  0.1151  7 Nd 3.37-3.53, 1 Sm 3.40
Nd  0.9322  0.4322  0.8849  7 Nd 3.37-3.53, 1 Sm 3.40
Sm  0.2500  0.7500  0.0000  4 Nd 3.40
Sm  0.7500  0.2500  0.0000  4 Nd 3.40
Tm  0.2500  0.7500  0.2739  8 Nd 3.59-3.66
Tm  0.2500  0.7500  0.7261  8 Nd 3.59-3.66
Tm  0.7500  0.2500  0.2739  8 Nd 3.59-3.66
Tm  0.7500  0.2500  0.7261  8 Nd 3.59-3.66

[3]
This record from Alexandria describes a geometry-optimized NdSm4Tm6 structure. The functional is PBE-GGA.

Results
As for the offset from the most stable computed form: 0.000 eV per atom.

a b c (Å): 9.6542 9.6542 9.6542
angles (deg): 139.93 139.93 57.96
Last column: nearest neighbours and their distance in Å.
Sites, in units of the cell vectors:
Nd  0.0000  0.0000  0.0000  8 Tm 3.31-3.69, 4 Sm 3.44
Sm  0.0142  0.0142  0.3783  5 Tm 3.36-3.59, 1 Nd 3.44, 1 Sm 3.54
Sm  0.3641  0.9858  0.0000  5 Tm 3.36-3.59, 1 Nd 3.44, 1 Sm 3.54
Sm  0.6359  0.6359  0.6217  5 Tm 3.36-3.59, 1 Nd 3.44, 1 Sm 3.54
Sm  0.9858  0.3641  0.0000  5 Tm 3.36-3.59, 1 Nd 3.44, 1 Sm 3.54
Tm  0.0000  0.5000  0.5000  4 Tm 3.24, 2 Nd 3.31
Tm  0.1955  0.5521  0.0000  3 Tm 3.24-3.34, 5 Sm 3.36-3.59
Tm  0.4479  0.4479  0.6434  3 Tm 3.24-3.34, 5 Sm 3.36-3.59
Tm  0.5000  0.0000  0.5000  4 Tm 3.24, 2 Nd 3.31
Tm  0.5521  0.1955  0.0000  3 Tm 3.24-3.34, 5 Sm 3.36-3.59
Tm  0.8045  0.8045  0.3566  3 Tm 3.24-3.34, 5 Sm 3.36-3.59

[4]
This record from Alexandria describes a geometry-optimized Nd12SmTm6 structure. The functional is PBE-GGA.

Results
As for the offset from the most stable computed form: 0.000 eV per atom.

a b c (Å): 8.6647 8.6647 8.6647
angles (deg): 88.82 88.82 88.82
Last column: nearest neighbours and their distance in Å.
Sites, in units of the cell vectors:
Nd  0.0176  0.3640  0.1949  4 Nd 3.46-3.64, 4 Tm 3.54-3.70, 1 Sm 3.62
Nd  0.1949  0.0176  0.3640  4 Nd 3.46-3.64, 4 Tm 3.54-3.70, 1 Sm 3.62
Nd  0.2179  0.5668  0.4641  3 Tm 3.36-3.50, 4 Nd 3.36-3.61
Nd  0.3640  0.1949  0.0176  4 Nd 3.46-3.64, 4 Tm 3.54-3.70, 1 Sm 3.62
Nd  0.4332  0.5359  0.7821  3 Tm 3.36-3.50, 4 Nd 3.36-3.61
Nd  0.4641  0.2179  0.5668  3 Tm 3.36-3.50, 4 Nd 3.36-3.61
Nd  0.5359  0.7821  0.4332  3 Tm 3.36-3.50, 4 Nd 3.36-3.61
Nd  0.5668  0.4641  0.2179  3 Tm 3.36-3.50, 4 Nd 3.36-3.61
Nd  0.6360  0.8051  0.9824  4 Nd 3.46-3.64, 4 Tm 3.54-3.70, 1 Sm 3.62
Nd  0.7821  0.4332  0.5359  3 Tm 3.36-3.50, 4 Nd 3.36-3.61
Nd  0.8051  0.9824  0.6360  4 Nd 3.46-3.64, 4 Tm 3.54-3.70, 1 Sm 3.62
Nd  0.9824  0.6360  0.8051  4 Nd 3.46-3.64, 4 Tm 3.54-3.70, 1 Sm 3.62
Sm  0.0000  0.0000  0.0000  6 Tm 3.48, 6 Nd 3.62
Tm  0.1004  0.2580  0.7029  7 Nd 3.36-3.70, 1 Sm 3.48, 2 Tm 3.52
Tm  0.2580  0.7029  0.1004  7 Nd 3.36-3.70, 1 Sm 3.48, 2 Tm 3.52
Tm  0.2971  0.8996  0.7420  7 Nd 3.36-3.70, 1 Sm 3.48, 2 Tm 3.52
Tm  0.7029  0.1004  0.2580  7 Nd 3.36-3.70, 1 Sm 3.48, 2 Tm 3.52
Tm  0.7420  0.2971  0.8996  7 Nd 3.36-3.70, 1 Sm 3.48, 2 Tm 3.52
Tm  0.8996  0.7420  0.2971  7 Nd 3.36-3.70, 1 Sm 3.48, 2 Tm 3.52

[5]
This record from Alexandria describes a geometry-optimized Nd2Sm12Tm structure. The functional is PBE-GGA.

Results
The total energy is -4.55 eV/atom.

a b c (Å): 6.7983 6.7983 24.9493
angles (deg): 90.00 90.00 116.28
Last column: nearest neighbours and their distance in Å.
Sites, in units of the cell vectors:
Nd  0.2500  0.7500  0.2348  2 Nd 3.59, 10 Sm 3.73-3.92
Nd  0.2500  0.7500  0.7723  2 Nd 3.59, 8 Sm 3.66-3.87
Nd  0.7500  0.2500  0.2277  2 Nd 3.59, 8 Sm 3.66-3.87
Nd  0.7500  0.2500  0.7652  2 Nd 3.59, 10 Sm 3.73-3.92
Sm  0.0014  0.5014  0.6260  8 Sm 3.41-3.63, 2 Tm 3.61-3.63
Sm  0.0009  0.9991  0.4249  2 Tm 3.43-3.45, 9 Sm 3.56-3.75
Sm  0.0193  0.5193  0.0830  7 Sm 3.30-3.67
Sm  0.0235  0.9765  0.9401  5 Sm 3.04-3.37
Sm  0.2500  0.2500  0.1736  3 Sm 3.20-3.37
Sm  0.2500  0.2500  0.3017  5 Sm 3.20-3.56
Sm  0.2500  0.2500  0.6983  5 Sm 3.20-3.56
Sm  0.2500  0.2500  0.8264  3 Sm 3.20-3.37
Sm  0.4765  0.5235  0.9401  5 Sm 3.04-3.37
Sm  0.4807  0.9807  0.0830  7 Sm 3.30-3.67
Sm  0.4991  0.5009  0.4249  2 Tm 3.43-3.45, 9 Sm 3.56-3.75
Sm  0.4986  0.9986  0.6260  8 Sm 3.41-3.63, 2 Tm 3.61-3.63
Sm  0.5014  0.0014  0.3740  8 Sm 3.41-3.63, 2 Tm 3.61-3.63
Sm  0.5009  0.4991  0.5751  2 Tm 3.43-3.45, 9 Sm 3.56-3.75
Sm  0.5193  0.0193  0.9170  7 Sm 3.30-3.67
Sm  0.5235  0.4765  0.0599  5 Sm 3.04-3.37
Sm  0.7500  0.7500  0.1736  3 Sm 3.20-3.37
Sm  0.7500  0.7500  0.3017  5 Sm 3.20-3.56
Sm  0.7500  0.7500  0.6983  5 Sm 3.20-3.56
Sm  0.7500  0.7500  0.8264  3 Sm 3.20-3.37
Sm  0.9765  0.0235  0.0599  5 Sm 3.04-3.37
Sm  0.9807  0.4807  0.9170  7 Sm 3.30-3.67
Sm  0.9991  0.0009  0.5751  2 Tm 3.43-3.45, 9 Sm 3.56-3.75
Sm  0.9986  0.4986  0.3740  8 Sm 3.41-3.63, 2 Tm 3.61-3.63
Tm  0.2500  0.7500  0.5002  8 Sm 3.43-3.63, 2 Tm 3.59
Tm  0.7500  0.2500  0.4998  8 Sm 3.43-3.63, 2 Tm 3.59

[6]
This record from Alexandria describes a geometry-optimized NdSm3Tm7 structure. The functional is PBE-GGA.

Results
As for the offset from the most stable computed form: 0.000 eV per atom.

a b c (Å): 6.9327 5.4845 9.9380
angles (deg): 90.00 110.06 90.00
Last column: nearest neighbours and their distance in Å.
Sites, in units of the cell vectors:
Nd  0.0000  0.0000  0.0000  2 Sm 3.47, 10 Tm 3.51-3.80
Sm  0.2825  0.5000  0.4983  1 Sm 3.00, 2 Tm 3.33-3.34
Sm  0.5000  0.0000  0.0000  2 Nd 3.47, 10 Tm 3.49-3.80
Sm  0.7175  0.5000  0.5017  1 Sm 3.00, 2 Tm 3.33-3.34
Tm  0.0000  0.0000  0.5000  4 Sm 3.37
Tm  0.1464  0.5000  0.7887  3 Tm 3.29-3.54, 2 Sm 3.33-3.34
Tm  0.3209  0.5000  0.1406  5 Tm 3.27-3.54, 3 Sm 3.49-3.65, 2 Nd 3.51
Tm  0.4190  0.0000  0.3305  3 Tm 3.16-3.27, 5 Sm 3.50-3.52
Tm  0.5810  0.0000  0.6695  3 Tm 3.16-3.27, 5 Sm 3.50-3.52
Tm  0.6791  0.5000  0.8594  5 Tm 3.27-3.54, 3 Sm 3.49-3.65, 2 Nd 3.51
Tm  0.8536  0.5000  0.2113  3 Tm 3.29-3.54, 2 Sm 3.33-3.34

[7]
This record from Alexandria describes a geometry-optimized NdSm6Tm4 structure. The functional is PBE-GGA.

Results
As for the offset from the most stable computed form: 0.000 eV per atom.

a b c (Å): 5.6339 5.6339 25.7985
angles (deg): 90.00 90.00 118.18
Last column: nearest neighbours and their distance in Å.
Sites, in units of the cell vectors:
Nd  0.2035  0.7965  0.7500  3 Sm 3.26-3.30
Nd  0.7965  0.2035  0.2500  3 Sm 3.26-3.30
Sm  0.1303  0.8697  0.1807  4 Tm 3.55-3.63, 7 Sm 3.58-3.95, 3 Nd 3.69-3.76
Sm  0.1303  0.8697  0.3193  4 Tm 3.55-3.63, 7 Sm 3.58-3.95, 3 Nd 3.69-3.76
Sm  0.1952  0.8048  0.5992  7 Tm 3.33-3.70
Sm  0.1952  0.8048  0.9008  7 Tm 3.33-3.70
Sm  0.4597  0.5403  0.2500  3 Nd 3.26-3.30, 2 Tm 3.27
Sm  0.5000  0.5000  0.0000  8 Tm 3.20-3.53
Sm  0.5000  0.5000  0.5000  8 Tm 3.20-3.53
Sm  0.5403  0.4597  0.7500  3 Nd 3.26-3.30, 2 Tm 3.27
Sm  0.8048  0.1952  0.0992  7 Tm 3.33-3.70
Sm  0.8048  0.1952  0.4008  7 Tm 3.33-3.70
Sm  0.8697  0.1303  0.6807  4 Tm 3.55-3.63, 7 Sm 3.58-3.95, 3 Nd 3.69-3.76
Sm  0.8697  0.1303  0.8193  4 Tm 3.55-3.63, 7 Sm 3.58-3.95, 3 Nd 3.69-3.76
Tm  0.1533  0.8467  0.0434  8 Sm 3.44-3.70, 2 Tm 3.64-3.72
Tm  0.1533  0.8467  0.4566  8 Sm 3.44-3.70, 2 Tm 3.64-3.72
Tm  0.4639  0.5361  0.1231  6 Sm 3.20-3.55
Tm  0.4639  0.5361  0.3769  6 Sm 3.20-3.55
Tm  0.5361  0.4639  0.6231  6 Sm 3.20-3.55
Tm  0.5361  0.4639  0.8769  6 Sm 3.20-3.55
Tm  0.8467  0.1533  0.5434  8 Sm 3.44-3.70, 2 Tm 3.64-3.72
Tm  0.8467  0.1533  0.9566  8 Sm 3.44-3.70, 2 Tm 3.64-3.72

[8]
This record from Alexandria describes a geometry-optimized Nd8Sm4Tm structure. The functional is PBE-GGA.

Results
The total energy is -4.32 eV/atom.

a b c (Å): 7.8806 7.8806 7.8806
angles (deg): 97.35 97.35 97.35
Last column: nearest neighbours and their distance in Å.
Sites, in units of the cell vectors:
Nd  0.1688  0.1688  0.6688  3 Sm 3.42, 3 Nd 3.42-3.59
Nd  0.1688  0.6688  0.1688  3 Sm 3.42, 3 Nd 3.42-3.59
Nd  0.2412  0.2412  0.2412  1 Sm 2.84, 1 Tm 3.05
Nd  0.3312  0.8312  0.8312  3 Sm 3.42, 3 Nd 3.42-3.59
Nd  0.6688  0.1688  0.1688  3 Sm 3.42, 3 Nd 3.42-3.59
Nd  0.7588  0.7588  0.7588  1 Sm 2.84, 1 Tm 3.05
Nd  0.8312  0.3312  0.8312  3 Sm 3.42, 3 Nd 3.42-3.59
Nd  0.8312  0.8312  0.3312  3 Sm 3.42, 3 Nd 3.42-3.59
Sm  0.0000  0.0000  0.0000  2 Nd 2.84
Sm  0.0000  0.5000  0.5000  6 Nd 3.42-3.58
Sm  0.5000  0.0000  0.5000  6 Nd 3.42-3.58
Sm  0.5000  0.5000  0.0000  6 Nd 3.42-3.58
Tm  0.5000  0.5000  0.5000  2 Nd 3.05